# 1
DFT (PBE) results for a relaxed Sn2HgS crystal.

Computed properties:
* formation energy without anion corrections: -96 meV/atom

a b c (Å): 3.6124 3.6124 27.1779
angles (deg): 90.00 90.00 120.00
Space group R3m (No. 160, hexagonal axes)
Unique sites:
Sn1 0.0000 0.0000 0.0000 [3 per cell]
Sn2 0.0000 0.0000 0.1917 [3 per cell]
Hg1 0.0000 0.0000 0.7622 [3 per cell]
S1 0.0000 0.0000 0.5925 [3 per cell]

# 2
DFT (PBE) results for a relaxed V8GaNi2 crystal.

Computed properties:
* energy of formation from the pure elements: 0.099 eV per atom

a b c (Å): 11.0126 4.9495 5.6799
angles (deg): 90.00 107.17 90.00
Space group C2/m (No. 12)
Unique sites:
V1 0.0899 0.0000 0.4122 [4 per cell]
V2 0.0910 0.2393 0.9106 [8 per cell]
V3 0.1995 0.5000 0.2836 [4 per cell]
Ga1 0.0000 0.5000 0.5000 [2 per cell]
Ni1 0.2296 0.5000 0.7399 [4 per cell]

# 3
DFT (PBE) results for a relaxed NdPuAu4 crystal.

Computed properties:
* energy of formation from the pure elements: -0.420 eV per atom

a b c (Å): 5.6126 4.2785 7.0074
angles (deg): 90.00 109.77 90.00
Space group P2/m (No. 10)
Unique sites:
Nd1 0.0000 0.0000 0.0000 [1 per cell]
Pu1 0.5000 0.5000 0.5000 [1 per cell]
Au1 0.0657 0.5000 0.7152 [2 per cell]
Au2 0.4322 0.0000 0.7801 [2 per cell]

# 4
DFT (PBE) results for a relaxed K2S5Br2 crystal.

Computed properties:
* formation energy without anion corrections: -582 meV/atom

a b c (Å): 4.6122 11.5025 13.9038
angles (deg): 91.05 92.20 92.52
Space group P1 (No. 1)
Unique sites:
K1 0.0000 0.0000 0.0000 [1 per cell]
K2 0.0000 0.4543 0.4813 [1 per cell]
K3 0.0048 0.2647 0.7628 [1 per cell]
K4 0.9975 0.7193 0.2401 [1 per cell]
S1 0.0614 0.9620 0.7456 [1 per cell]
S2 0.1776 0.5405 0.9596 [1 per cell]
S3 0.2709 0.0657 0.3900 [1 per cell]
S4 0.3741 0.5192 0.8401 [1 per cell]
S5 0.4073 0.5965 0.0720 [1 per cell]
S6 0.4204 0.3222 0.2933 [1 per cell]
S7 0.5268 0.9319 0.4283 [1 per cell]
S8 0.5342 0.1615 0.2907 [1 per cell]
S9 0.7247 0.8971 0.6694 [1 per cell]
S10 0.8043 0.9898 0.5400 [1 per cell]
Br1 0.4997 0.8671 0.1265 [1 per cell]
Br2 0.5030 0.3495 0.6158 [1 per cell]
Br3 0.5052 0.6087 0.3727 [1 per cell]
Br4 0.5070 0.1494 0.9010 [1 per cell]

# 5
DFT (PBE) results for a relaxed YZr2Br crystal.

Computed properties:
* formation energy without anion corrections: -2 meV/atom

a b c (Å): 3.3349 5.7798 10.4515
angles (deg): 90.00 90.00 90.00
Space group Imm2 (No. 44)
Unique sites:
Y1 0.0000 0.0000 0.0000 [2 per cell]
Zr1 0.0000 0.0000 0.5295 [2 per cell]
Zr2 0.0000 0.5000 0.7824 [2 per cell]
Br1 0.0000 0.5000 0.2497 [2 per cell]

# 6
DFT (PBE) results for a relaxed MgMo2Br crystal.

Computed properties:
* formation energy without anion corrections: 261 meV/atom

a b c (Å): 3.3206 5.2884 8.8314
angles (deg): 90.00 90.00 90.00
Space group Cmm2 (No. 35)
Unique sites:
Mg1 0.0000 0.0000 0.0000 [2 per cell]
Mo1 0.0000 0.0000 0.4709 [2 per cell]
Mo2 0.0000 0.5000 0.2674 [2 per cell]
Br1 0.0000 0.5000 0.7682 [2 per cell]

# 7
DFT (PBE) results for a relaxed Si2N crystal.

Computed properties:
* formation energy without anion corrections: -339 meV/atom

a b c (Å): 10.0260 4.5888 4.6357
angles (deg): 90.00 101.33 90.00
Space group C2 (No. 5)
Unique sites:
Si1 0.1192 0.0000 0.0734 [4 per cell]
Si2 0.2470 0.4072 0.2922 [4 per cell]
N1 0.1822 0.7502 0.3652 [4 per cell]

# 8
DFT (PBE) results for a relaxed PrHoSeS crystal.

Computed properties:
* formation energy without anion corrections: -1836 meV/atom

a b c (Å): 3.9768 3.9768 21.3963
angles (deg): 90.00 90.00 120.00
Space group R3m (No. 160, hexagonal axes)
Unique sites:
Pr1 0.0000 0.0000 0.0000 [3 per cell]
Ho1 0.0000 0.0000 0.8308 [3 per cell]
Se1 0.0000 0.0000 0.4220 [3 per cell]
S1 0.0000 0.0000 0.2417 [3 per cell]

# 9
DFT (PBE) results for a relaxed Hf3Os5N12 crystal.

Computed properties:
* formation energy without anion corrections: -60 meV/atom

a b c (Å): 12.3073 12.3073 12.3073
angles (deg): 90.00 90.00 90.00
Space group Ia-3d (No. 230)
Unique sites:
Hf1 0.0000 0.2500 0.1250 [24 per cell]
Os1 0.0000 0.0000 0.0000 [16 per cell]
Os2 0.0000 0.2500 0.3750 [24 per cell]
N1 0.0257 0.0624 0.6522 [96 per cell]

# 10
DFT (PBE) results for a relaxed Tm12Tc3H5 crystal.

Computed properties:
* E: -5.2958 eV/atom

a b c (Å): 14.8825 14.8825 14.8825
angles (deg): 90.00 90.00 90.00
Space group Ia-3d (No. 230)
Unique sites:
Tm1 0.0328 0.0609 0.6556 [96 per cell]
Tc1 0.0000 0.2500 0.1250 [24 per cell]
H1 0.0000 0.0000 0.0000 [16 per cell]
H2 0.0000 0.2500 0.3750 [24 per cell]

# 11
DFT (PBE) results for a relaxed Rb2NaZrIn crystal.

Computed properties:
* energy of formation from the pure elements: 1.149 eV per atom

a b c (Å): 6.7676 6.7676 6.1979
angles (deg): 90.00 90.00 90.00
Space group P4/mmm (No. 123)
Unique sites:
Rb1 0.0000 0.5000 0.0000 [2 per cell]
Na1 0.0000 0.0000 0.5000 [1 per cell]
Zr1 0.0000 0.0000 0.0000 [1 per cell]
In1 0.5000 0.5000 0.5000 [1 per cell]

# 12
DFT (PBE) results for a relaxed Cs3Na2TmBr9 crystal.

Computed properties:
* formation energy without anion corrections: -1614 meV/atom

a b c (Å): 7.9909 7.9909 10.2525
angles (deg): 90.00 90.00 120.00
Space group P-3m1 (No. 164)
Unique sites:
Cs1 0.0000 0.0000 0.0000 [1 per cell]
Cs2 0.3333 0.6667 0.6724 [2 per cell]
Na1 0.3333 0.6667 0.1729 [2 per cell]
Tm1 0.0000 0.0000 0.5000 [1 per cell]
Br1 0.0000 0.5000 0.0000 [3 per cell]
Br2 0.1623 0.3246 0.3440 [6 per cell]